Entry 1:
Here is a geometry-optimized AcEuAgSn structure from Alexandria. Energies are from GGA-PBE.

Geometry as extended XYZ:
```
4
Lattice="-5.261 -1.342 1.434 -0.938 -4.123 3.696 -1.907 1.217 5.140" Properties=species:S:1:pos:R:3 pbc="T T T"
Ac 0.000 0.000 0.000
Ag -6.079 -3.186 7.702
Eu -4.053 -2.124 5.134
Sn -2.026 -1.062 2.567
```

* energy relative to the elements: -51.3 kJ per mole of atoms
* N(E_F): 10.750 states/eV/f.u.
* space-group type: F-43m (216)

=====

Entry 2:
Here is a geometry-optimized GaNi2Pt8 structure from Alexandria. Energies are from GGA-PBE.

Geometry as extended XYZ:
```
11
Lattice="-2.400 -2.630 1.722 0.879 -3.884 -4.706 6.164 -0.169 3.789" Properties=species:S:1:pos:R:3 pbc="T T T"
Pt 1.581 -1.183 0.396
Pt 3.242 -1.261 2.590
Pt 3.062 -5.500 0.409
Pt 3.542 -3.714 3.804
Pt 4.476 -3.318 1.170
Pt 1.402 -5.422 -1.785
Pt 1.102 -2.969 -2.999
Pt 0.167 -3.365 -0.365
Ni 1.855 -3.546 1.712
Ni 2.788 -3.138 -0.907
Ga -1.200 -1.315 0.861
```

* relative energy among the computed polymorphs: 0.000 eV/atom
* energy relative to the elements: -16.9 kJ per mole of atoms
* N(E_F): 15.557 states/eV/f.u.
* space-group type: C2/m (12)

=====

Entry 3:
Here is a geometry-optimized PmSmPu2P4 structure from Alexandria. Energies are from GGA-PBE.

Geometry as extended XYZ:
```
8
Lattice="5.731 0.312 0.000 -0.312 5.731 0.000 -2.709 -3.021 5.730" Properties=species:S:1:pos:R:3 pbc="T T T"
Pu -0.497 2.486 2.865
Pu 2.525 -0.224 2.865
Sm 2.369 2.642 0.000
P 2.213 5.507 0.000
P -0.340 -0.380 2.872
P 2.369 2.642 2.858
P 5.234 2.798 0.000
Pm 5.078 5.663 0.000
```

* energy relative to the elements: -129.1 kJ per mole of atoms
* N(E_F): 20.504 states/eV/f.u.
* space-group type: I4/mmm (139)